## i
Computed, not measured: SrLi2Pt after structural relaxation at the GGA-PBE level of DFT.

Volume in Å³/cell: 175
DOS(E_F) in states/eV per atom: 0.30

Lattice parameters (Å, degrees): 8.447 4.065 5.346 90.00 107.89 90.00
Space group C2/m (No. 12)
Symmetry-distinct sites (fractional):
Sr 0.000 0.000 0.000 (multiplicity 2)
Li 0.203 0.000 0.607 (multiplicity 4)
Pt 0.000 0.500 0.500 (multiplicity 2)

=====

## ii
Computed, not measured: SrLi2Pt after structural relaxation at the GGA-PBE level of DFT.

Volume in Å³/cell: 262
DOS(E_F) in states/eV per atom: 0.44

Lattice parameters (Å, degrees): 4.4180 4.4180 15.5293 90.00 90.00 120.00
Space group R-3m (No. 166, hexagonal axes)
Symmetry-distinct sites (fractional):
Sr 0.0000 0.0000 0.0000 (multiplicity 3)
Li 0.0000 0.0000 0.1997 (multiplicity 6)
Pt 0.0000 0.0000 0.5000 (multiplicity 3)

=====

How do the energies compare? Relative to the most stable structure, in eV/atom: i 0.000; ii 0.007.

=====

## i
Computed, not measured: SrLi2Pt after structural relaxation at the GGA-PBE level of DFT.

Volume in Å³/cell: 371
DOS(E_F) in states/eV per atom: 0.33

Lattice parameters (Å, degrees): 5.901 6.074 10.363 90.00 90.00 90.00
Space group Fmmm (No. 69)
Symmetry-distinct sites (fractional):
Sr 0.000 0.000 0.000 (multiplicity 4)
Li 0.000 0.250 0.250 (multiplicity 8)
Pt 0.000 0.000 0.500 (multiplicity 4)

=====

## ii
Computed, not measured: SrLi2Pt after structural relaxation at the GGA-PBE level of DFT.

Volume in Å³/cell: 273
DOS(E_F) in states/eV per atom: 0.32

Lattice parameters (Å, degrees): 4.4468 4.4468 15.9225 90.00 90.00 120.00
Space group R3m (No. 160, hexagonal axes)
Symmetry-distinct sites (fractional):
Sr 0.0000 0.0000 0.0000 (multiplicity 3)
Li 0.0000 0.0000 0.1900 (multiplicity 3)
Li 0.0000 0.0000 0.4811 (multiplicity 3)
Pt 0.0000 0.0000 0.7967 (multiplicity 3)

=====

## iii
Computed, not measured: SrLi2Pt after structural relaxation at the GGA-PBE level of DFT.

Volume in Å³/cell: 89
DOS(E_F) in states/eV per atom: 0.33

Lattice parameters (Å, degrees): 4.282 4.259 4.875 90.00 90.15 90.00
Space group P2/m (No. 10)
Symmetry-distinct sites (fractional):
Sr 0.000 0.000 0.000 (multiplicity 1)
Li 0.000 0.500 0.500 (multiplicity 1)
Li 0.500 0.000 0.500 (multiplicity 1)
Pt 0.500 0.500 0.000 (multiplicity 1)

=====

How do the energies compare? Relative to the most stable structure, in eV/atom: i 0.275; ii 0.000; iii 0.175.